## a
First-principles (GGA-PBEsol) data for crystalline LiOs2Pt at its relaxed geometry, as listed in Alexandria.

a = 2.661 Å, b = 4.597 Å, c = 4.762 Å
α = 97.51°, β = 90.00°, γ = 106.82°
Atoms (fractional coordinates):
Os (0.246, 0.492, 0.789)
Os (0.992, 0.983, 0.971)
Pt (0.508, 0.015, 0.462)
Li (0.755, 0.510, 0.278)

Summary:
Its symmetry is Cm. The value obtained for the density is 17.51 g/cm3. Its total moment is 0.0000 μB/atom.

---

## b
First-principles (GGA-PBEsol) data for crystalline LiOs2Pt at its relaxed geometry, as listed in Alexandria.

a = 4.261 Å, b = 4.261 Å, c = 4.261 Å
α = 60.00°, β = 60.00°, γ = 60.00°
Atoms (fractional coordinates):
Li (0.500, 0.500, 0.500)
Pt (0.250, 0.250, 0.250)
Os (0.000, 0.000, 0.000)
Os (0.750, 0.750, 0.750)

Summary:
Its symmetry is F-43m. The value obtained for the density is 17.68 g/cm3. Its total moment is 0.1077 μB/atom.

---

## c
First-principles (GGA-PBEsol) data for crystalline LiOs2Pt at its relaxed geometry, as listed in Alexandria.

a = 2.673 Å, b = 4.562 Å, c = 4.723 Å
α = 97.18°, β = 106.44°, γ = 90.00°
Atoms (fractional coordinates):
Os (0.759, 0.745, 0.518)
Os (0.241, 0.255, 0.482)
Li (0.000, 0.500, 0.000)
Pt (0.500, 0.000, 0.000)

Summary:
Its symmetry is C2/m. The value obtained for the density is 17.66 g/cm3. Its total moment is 0.0000 μB/atom.

---

In meV/atom, relative to the most stable structure: a 9; b 217; c 0.